# 1
4
Lattice="-0.931 -1.903 -4.559 4.848 1.280 -0.356 2.817 -3.313 -1.364" Properties=species:S:1:pos:R:3 comment="MgPtCl2 (PBE, relaxed)" de_polymorph_mev_per_atom=412 space_group="C2/m (12)" formation_energy_uncorrected_ev_per_atom=-0.454 e_tot_ry_per_atom=-0.242 pbc="T T T"
Cl 1.959 -0.311 -2.458
Mg 0.943 -2.608 -2.962
Cl 0.000 0.000 0.000
Pt 3.833 -1.017 -0.860

***

# 2
29
Lattice="-10.669 2.859 2.693 -4.807 -4.196 9.410 -1.990 6.806 8.887" Properties=species:S:1:pos:R:3 comment="Tb6Pm16Nd7 (PBE, relaxed)" space_group="Fm-3m (225)" formation_enthalpy_0k_kj_per_mol_atoms=22 e_tot_ry_per_atom=-0.331 pbc="T T T"
Tb -5.578 4.640 9.742
Pm -8.467 6.094 7.982
Nd -7.738 -0.668 6.052
Pm -14.279 1.403 13.937
Tb -9.639 2.793 6.844
Nd -0.995 3.403 4.443
Pm -2.200 0.689 2.644
Pm -7.494 2.108 3.980
Pm -4.928 1.834 12.037
Pm -12.881 6.863 13.677
Tb -10.571 5.978 11.003
Pm -7.299 6.018 12.692
Nd 0.000 0.000 0.000
Pm -15.267 4.781 18.346
Pm -12.538 3.636 8.953
Pm -8.999 -0.624 13.008
Pm -6.097 1.909 7.327
Pm -10.168 -0.549 8.298
Tb -7.827 2.676 14.146
Pm -4.585 -1.393 7.313
Nd -6.330 4.833 5.790
Tb -6.896 -0.509 9.987
Pm -11.370 3.560 13.663
Tb -11.889 0.829 11.248
Nd -2.403 -2.098 4.705
Nd -5.335 1.430 1.347
Nd -3.399 1.305 9.148
Pm -9.972 3.362 17.010
Pm -3.187 4.066 7.053

***

# 3
10
Lattice="-1.432 -0.244 2.401 0.885 -2.650 0.259 12.303 4.876 7.834" Properties=species:S:1:pos:R:3 comment="Be4VPt5 (PBE, relaxed)" space_group="P4/mmm (123)" formation_enthalpy_0k_kj_per_mol_atoms=-71 e_tot_ry_per_atom=-0.452 pbc="T T T"
Be 7.316 2.899 4.658
Pt 3.581 0.081 3.784
Be 9.640 3.820 6.138
Be 4.988 1.977 3.176
Pt 8.176 1.902 6.710
Pt 10.503 2.824 8.191
Pt 5.878 0.991 5.247
V 0.000 0.000 0.000
Be 2.664 1.056 1.696
Pt 1.254 -0.841 2.302